A plane-wave DFT calculation with PBE was carried out for an optimized crystal structure of PrHoZn6.

Properties
Volume in Å³/f.u.: 150.26
Electronic total energy in eV per atom: -2.393
Energy of formation from the pure elements in eV per atom: -0.28
Space-group type: Pmm2 (25)
Crystal system: orthorhombic

Lattice parameters (Å, degrees): 4.732 6.708 4.733 90.00 90.00 90.00
Fractional positions:
Pr: 0.500 0.500 0.253
Zn: 0.000 0.762 0.246
Zn: 0.500 0.000 0.252
Zn: 0.000 0.238 0.246
Zn: 0.000 0.500 0.750
Zn: 0.500 0.238 0.753
Zn: 0.500 0.762 0.753
Ho: 0.000 0.000 0.747